Record 1
! PBE AcGdCuAu, optimized geometry; values from VASP
&SYSTEM
  ibrav = 0, nat = 4, ntyp = 4
/
ATOMIC_SPECIES
Ac 227.00 Ac.upf
Gd 157.25 Gd.upf
Cu 63.55 Cu.upf
Au 196.97 Au.upf
ATOMIC_POSITIONS angstrom
Ac 0.0000 0.0000 0.0000
Gd 3.7379 3.7379 3.7379
Cu 5.6068 5.6068 5.6068
Au 1.8689 1.8689 1.8689
CELL_PARAMETERS angstrom
0.0000 3.7379 3.7379
3.7379 0.0000 3.7379
3.7379 3.7379 0.0000
! * space group: F-43m
! * final energy: -27.279 eV per cell


Record 2
! PBE KErCo2Cl8, optimized geometry; values from VASP
&SYSTEM
  ibrav = 0, nat = 12, ntyp = 4
/
ATOMIC_SPECIES
K 39.10 K.upf
Er 167.26 Er.upf
Co 58.93 Co.upf
Cl 35.45 Cl.upf
ATOMIC_POSITIONS angstrom
K 0.0000 0.0000 0.0000
Er 0.0000 0.0000 14.4200
Co 0.0000 0.0000 7.0979
Co 0.0000 0.0000 21.7420
Cl -1.0505 -1.8525 12.8648
Cl -2.1296 -0.0165 15.9752
Cl 0.0000 0.0000 9.2839
Cl -1.0791 1.8360 12.8648
Cl 1.0791 -1.8360 15.9752
Cl 0.0000 0.0000 19.5561
Cl 2.1296 0.0165 12.8648
Cl 1.0505 1.8525 15.9752
CELL_PARAMETERS angstrom
3.2139 1.8555 9.6133
-3.2139 1.8555 9.6133
0.0000 -3.7111 9.6133
! * space group: R-3
! * final energy: -50.635 eV per cell


Record 3
! PBE LiZr2MnAu, optimized geometry; values from VASP
&SYSTEM
  ibrav = 0, nat = 5, ntyp = 4
/
ATOMIC_SPECIES
Li 6.94 Li.upf
Zr 91.22 Zr.upf
Mn 54.94 Mn.upf
Au 196.97 Au.upf
ATOMIC_POSITIONS angstrom
Li 0.0000 0.0000 0.0000
Zr 0.0000 2.3791 0.0000
Zr 2.3791 0.0000 0.0000
Mn 0.0000 0.0000 1.9441
Au 2.3791 2.3791 1.9441
CELL_PARAMETERS angstrom
4.7582 0.0000 0.0000
0.0000 4.7582 0.0000
0.0000 0.0000 3.8882
! * space group: P4/mmm
! * final energy: -27.971 eV per cell


Record 4
! PBE SrW2Br, optimized geometry; values from VASP
&SYSTEM
  ibrav = 0, nat = 4, ntyp = 3
/
ATOMIC_SPECIES
Sr 87.62 Sr.upf
W 183.84 W.upf
Br 79.90 Br.upf
ATOMIC_POSITIONS angstrom
Sr 0.0000 0.0000 0.0000
W -0.9836 0.0000 6.3588
W 1.0403 0.0000 4.8559
Br 4.1497 0.0000 2.3477
CELL_PARAMETERS angstrom
3.0757 -1.7314 0.0000
3.0757 1.7314 0.0000
-3.0157 0.0000 9.1673
! * offset from the most stable computed form: 0.69 eV per formula unit
! * space group: Cm
! * final energy: -27.646 eV per cell